Entry 1:
Below is a geometry-optimized K3Na2BiF9 structure, with properties calculated at the PBE level.

Unit cell a=6.248 b=6.248 c=8.049 alpha=90.00 beta=90.00 gamma=120.00
Positions (direct):
1 K 0.000 0.000 0.000
2 K 0.333 0.667 0.765
3 K 0.667 0.333 0.235
4 Na 0.333 0.667 0.163
5 Na 0.667 0.333 0.837
6 Bi 0.000 0.000 0.500
7 F 0.000 0.500 0.000
8 F 0.159 0.319 0.336
9 F 0.159 0.841 0.336
10 F 0.319 0.159 0.664
11 F 0.500 0.000 0.000
12 F 0.500 0.500 0.000
13 F 0.681 0.841 0.336
14 F 0.841 0.159 0.664
15 F 0.841 0.681 0.664

Results
* mass density: 3.3 g/cm³
* Fermi-level density of states: 7.62 states/eV/cell
* raw total energy: -4.32 eV/atom



Entry 2:
Below is a geometry-optimized KNaBiF6 structure, with properties calculated at the PBE level.

Unit cell a=6.075 b=6.075 c=10.861 alpha=90.00 beta=90.00 gamma=120.00
Positions (direct):
1 K 0.000 0.000 0.000
2 K 0.000 0.000 0.500
3 Na 0.333 0.667 0.250
4 Na 0.667 0.333 0.750
5 Bi 0.333 0.667 0.750
6 Bi 0.667 0.333 0.250
7 F 0.023 0.378 0.642
8 F 0.023 0.645 0.858
9 F 0.355 0.378 0.858
10 F 0.355 0.977 0.642
11 F 0.378 0.023 0.142
12 F 0.378 0.355 0.358
13 F 0.622 0.645 0.642
14 F 0.622 0.977 0.858
15 F 0.645 0.023 0.358
16 F 0.645 0.622 0.142
17 F 0.977 0.355 0.142
18 F 0.977 0.622 0.358

Results
* mass density: 3.7 g/cm³
* Fermi-level density of states: 5.70 states/eV/cell
* raw total energy: -4.40 eV/atom



Entry 3:
Below is a geometry-optimized KNa2BiF8 structure, with properties calculated at the PBE level.

Unit cell a=4.037 b=8.239 c=5.553 alpha=90.00 beta=90.37 gamma=90.00
Positions (direct):
1 K 0.000 0.000 0.000
2 Na 0.500 0.258 0.500
3 Na 0.500 0.742 0.500
4 Bi 0.000 0.500 0.000
5 F 0.002 0.293 0.755
6 F 0.002 0.707 0.755
7 F 0.497 0.000 0.691
8 F 0.498 0.500 0.218
9 F 0.502 0.500 0.782
10 F 0.503 0.000 0.309
11 F 0.998 0.293 0.245
12 F 0.998 0.707 0.245

Results
* mass density: 4.0 g/cm³
* Fermi-level density of states: 4.43 states/eV/cell
* raw total energy: -4.16 eV/atom



Entry 4:
Below is a geometry-optimized K2NaBiF8 structure, with properties calculated at the PBE level.

Unit cell a=5.036 b=5.997 c=8.031 alpha=89.47 beta=89.78 gamma=84.97
Positions (direct):
1 K 0.008 0.002 0.232
2 K 0.992 0.998 0.768
3 Na 0.500 0.500 0.000
4 Bi 0.500 0.500 0.500
5 F 0.149 0.707 0.502
6 F 0.180 0.755 0.000
7 F 0.370 0.291 0.683
8 F 0.373 0.308 0.309
9 F 0.627 0.692 0.691
10 F 0.630 0.709 0.317
11 F 0.820 0.245 0.000
12 F 0.851 0.293 0.498

Results
* mass density: 3.2 g/cm³
* Fermi-level density of states: 7.19 states/eV/cell
* raw total energy: -4.18 eV/atom